VASP calculation (GGA-PBE) on Li2NdMgTl2 after structural relaxation.

Properties
**SG**: P-3m1 (164)
**D(E_F)**: 3.493 states/eV/cell
**E_tot**: -2.7654 eV/atom
**Calculated volume**: 141.06 Å³ per cell
**Calculated formation energy**: -1.7 eV/f.u.

a b c (Å): 4.8654 4.8654 6.8809
angles (deg): 90.00 90.00 120.00
Last column: nearest neighbours and their distance in Å.
Positions (direct):
Nd (0.0000, 0.0000, 0.0000)  6 Tl 3.28, 2 Mg 3.44, 6 Li 3.54
Tl (0.3333, 0.6667, 0.2452)  4 Li 2.85-3.04
Tl (0.6667, 0.3333, 0.7548)  4 Li 2.85-3.04
Mg (0.0000, 0.0000, 0.5000)  6 Li 3.09, 6 Tl 3.31, 2 Nd 3.44
Li (0.3333, 0.6667, 0.6869)  4 Tl 2.85-3.04, 3 Mg 3.09
Li (0.6667, 0.3333, 0.3131)  4 Tl 2.85-3.04, 3 Mg 3.09